The following is a PBE-GGA calculation of a geometry-optimized PrMgAs2Rh5 structure, from the Alexandria database.

Geometry as POSCAR:
```
PrMgAs2Rh5
1.0
4.150 0.000 0.000
0.000 4.150 0.000
0.000 0.000 10.209
Pr Mg As Rh
1 1 2 5
Cartesian
0.000 0.000 5.104
0.000 0.000 0.000
2.075 2.075 2.738
2.075 2.075 7.471
0.000 2.075 1.586
2.075 0.000 1.586
0.000 2.075 8.622
2.075 0.000 8.622
2.075 2.075 5.104
```

Computed properties:
ΔH_f (0 K) in eV/atom: -0.39
Calculated total energy in eV/atom: -6.217

***

The following is a PBE-GGA calculation of a geometry-optimized TiTe2ICl structure, from the Alexandria database.

Geometry as POSCAR:
```
TiTe2ICl
1.0
-3.599 3.209 -2.600
-3.111 -4.375 -1.094
-2.651 0.740 4.583
I Cl Te Ti
1 1 2 1
Cartesian
-1.326 0.370 2.292
0.000 0.000 0.000
-1.555 -2.188 -0.547
-1.800 1.604 -1.300
-4.681 -0.213 0.445
```

Computed properties:
Energy relative to the lowest polymorph listed for this composition in eV per atom: 1.070
Calculated total energy in eV/atom: -2.610

***

The following is a PBE-GGA calculation of a geometry-optimized Nd8Si3Te4Se structure, from the Alexandria database.

Geometry as POSCAR:
```
Nd8Si3Te4Se
1.0
8.714 0.000 0.000
0.000 8.870 0.104
-4.357 -4.352 6.165
Nd Si Te Se
8 3 4 1
Cartesian
-2.129 2.155 6.105
0.000 4.282 3.093
0.000 0.195 3.217
2.129 2.155 6.105
2.228 2.363 0.164
4.357 4.323 3.052
4.357 0.236 3.176
6.486 2.363 0.164
4.357 4.435 0.052
2.178 2.259 3.134
-2.178 2.259 3.134
4.357 0.000 0.000
2.178 -2.176 3.082
0.000 0.000 0.000
-2.178 -2.176 3.082
0.000 4.435 0.052
```

Computed properties:
Calculated total energy in eV/atom: -5.694

***

- What is the calculated total energy in the second record?
  -2.610 eV/atom

***

- What is the formula in the second record?
  TiTe2ICl

***

- Look up the calculated total energy of the third one.
  -5.694 eV/atom